(1)
Below is a geometry-optimized Mg2Cd8Ag structure, with properties calculated at the GGA-PBE level.

Unit cell a=5.4777 b=7.3446 c=7.7644 alpha=61.77 beta=79.27 gamma=66.81
Atoms (fractional coordinates):
Mg 0.0000 0.3019 0.3961
Mg 0.0000 0.6981 0.6039
Cd 0.7958 0.0979 0.2254
Cd 0.7958 0.3233 0.7746
Cd 0.2796 0.4132 0.0000
Cd 0.5000 0.7825 0.4351
Cd 0.5000 0.2175 0.5649
Cd 0.7204 0.5868 0.0000
Cd 0.2042 0.6767 0.2254
Cd 0.2042 0.9021 0.7746
Ag 0.5000 0.0000 0.0000

Results
Final energy   -1.19 eV per atom

---

(2)
Below is a geometry-optimized Mg5Cd8Ag structure, with properties calculated at the GGA-PBE level.

Unit cell a=7.4603 b=7.4603 c=7.4603 alpha=110.91 beta=106.63 gamma=110.91
Atoms (fractional coordinates):
Mg 0.9503 0.4111 0.1243
Mg 0.8757 0.8259 0.2868
Mg 0.7132 0.5889 0.5391
Mg 0.5000 0.0000 0.5000
Mg 0.4609 0.1741 0.0497
Cd 0.1016 0.7632 0.0004
Cd 0.9996 0.1012 0.7628
Cd 0.8281 0.2248 0.3914
Cd 0.6086 0.4367 0.8334
Cd 0.3967 0.5633 0.1719
Cd 0.6616 0.8988 0.8984
Cd 0.2372 0.2368 0.3384
Cd 0.1666 0.7752 0.6033
Ag 0.2500 0.5000 0.7500

Results
Final energy   -1.30 eV per atom

---

(3)
Below is a geometry-optimized Mg9Cd4Ag11 structure, with properties calculated at the GGA-PBE level.

Unit cell a=3.2668 b=12.1398 c=12.1398 alpha=107.50 beta=90.00 gamma=90.00
Atoms (fractional coordinates):
Mg 0.5000 0.6142 0.1537
Mg 0.5000 0.3858 0.8463
Mg 0.5000 0.1537 0.6142
Mg 0.5000 0.8463 0.3858
Mg 0.5000 0.7981 0.9852
Mg 0.5000 0.2019 0.0148
Mg 0.5000 0.9852 0.7981
Mg 0.5000 0.0148 0.2019
Mg 0.5000 0.5000 0.5000
Cd 0.5000 0.5838 0.7477
Cd 0.5000 0.4162 0.2523
Cd 0.5000 0.7477 0.5838
Cd 0.5000 0.2523 0.4162
Ag 0.0000 0.5971 0.9535
Ag 0.0000 0.4029 0.0465
Ag 0.0000 0.9535 0.5971
Ag 0.0000 0.0465 0.4029
Ag 0.0000 0.6326 0.3674
Ag 0.0000 0.3674 0.6326
Ag 0.0000 0.8144 0.1856
Ag 0.0000 0.1856 0.8144
Ag 0.0000 0.0000 0.0000
Ag 0.0000 0.7929 0.7929
Ag 0.0000 0.2071 0.2071

Results
Final energy   -2.23 eV per atom